Record 1
A plane-wave DFT calculation with GGA-PBE was carried out for Sr3NbP after structural relaxation.

Total moment = 0.000 μB/f.u.
DFT total energy = -15.54 eV per cell
V = 35.98 Å³/atom

a = 5.645 Å, b = 5.645 Å, c = 5.645 Å
α = 90.00°, β = 90.00°, γ = 90.00°
Space group Pm-3m (No. 221)
Symmetry-distinct sites (fractional):
Sr1 0.000 0.000 0.500 (multiplicity 3)
Nb1 0.000 0.000 0.000 (multiplicity 1)
P1 0.500 0.500 0.500 (multiplicity 1)


Record 2
A plane-wave DFT calculation with GGA-PBE was carried out for SrNbP after structural relaxation.

Total moment = 0.000 μB/f.u.
DFT total energy = -77.44 eV per cell
V = 26.05 Å³/atom

a = 3.956 Å, b = 3.956 Å, c = 19.972 Å
α = 90.00°, β = 90.00°, γ = 90.00°
Space group I4/mmm (No. 139)
Symmetry-distinct sites (fractional):
Sr1 0.000 0.000 0.154 (multiplicity 4)
Nb1 0.000 0.500 0.000 (multiplicity 4)
P1 0.000 0.000 0.411 (multiplicity 4)


Record 3
A plane-wave DFT calculation with GGA-PBE was carried out for TaNb2P after structural relaxation.

Total moment = 0.000 μB/f.u.
DFT total energy = -149.98 eV per cell
V = 16.58 Å³/atom

a = 6.425 Å, b = 6.425 Å, c = 6.425 Å
α = 90.00°, β = 90.00°, γ = 90.00°
Space group Fm-3m (No. 225)
Symmetry-distinct sites (fractional):
Ta1 0.000 0.000 0.000 (multiplicity 4)
Nb1 0.250 0.250 0.250 (multiplicity 8)
P1 0.000 0.000 0.500 (multiplicity 4)


Record 4
A plane-wave DFT calculation with GGA-PBE was carried out for TaNb2P after structural relaxation.

Total moment = 0.000 μB/f.u.
DFT total energy = -149.05 eV per cell
V = 18.68 Å³/atom

a = 7.764 Å, b = 7.764 Å, c = 4.958 Å
α = 90.00°, β = 90.00°, γ = 90.00°
Space group I-42d (No. 122)
Symmetry-distinct sites (fractional):
Ta1 0.000 0.000 0.000 (multiplicity 4)
Nb1 0.168 0.250 0.625 (multiplicity 8)
P1 0.000 0.000 0.500 (multiplicity 4)


Record 5
A plane-wave DFT calculation with GGA-PBE was carried out for Ta3NbP after structural relaxation.

Total moment = 0.000 μB/f.u.
DFT total energy = -102.98 eV per cell
V = 18.55 Å³/atom

a = 6.599 Å, b = 5.243 Å, c = 5.361 Å
α = 90.00°, β = 90.00°, γ = 90.00°
Space group Pmn2_1 (No. 31)
Symmetry-distinct sites (fractional):
Ta1 0.000 0.186 0.000 (multiplicity 2)
Ta2 0.250 0.256 0.433 (multiplicity 4)
Nb1 0.000 0.815 0.367 (multiplicity 2)
P1 0.000 0.500 0.683 (multiplicity 2)


Record 6
A plane-wave DFT calculation with GGA-PBE was carried out for TaNbP2 after structural relaxation.

Total moment = 0.000 μB/f.u.
DFT total energy = -140.45 eV per cell
V = 15.09 Å³/atom

a = 6.227 Å, b = 6.227 Å, c = 6.227 Å
α = 90.00°, β = 90.00°, γ = 90.00°
Space group Fm-3m (No. 225)
Symmetry-distinct sites (fractional):
Ta1 0.000 0.000 0.000 (multiplicity 4)
Nb1 0.000 0.000 0.500 (multiplicity 4)
P1 0.250 0.250 0.250 (multiplicity 8)


Record 7
A plane-wave DFT calculation with GGA-PBE was carried out for TaNbP2 after structural relaxation.

Total moment = 0.000 μB/f.u.
DFT total energy = -104.41 eV per cell
V = 16.35 Å³/atom

a = 3.5627 Å, b = 3.5627 Å, c = 17.8538 Å
α = 90.00°, β = 90.00°, γ = 120.00°
Space group R-3m (No. 166, hexagonal axes)
Symmetry-distinct sites (fractional):
Ta1 0.0000 0.0000 0.0000 (multiplicity 3)
Nb1 0.0000 0.0000 0.5000 (multiplicity 3)
P1 0.0000 0.0000 0.2510 (multiplicity 6)


Record 8
A plane-wave DFT calculation with GGA-PBE was carried out for TaNbP2 after structural relaxation.

Total moment = 0.000 μB/f.u.
DFT total energy = -130.78 eV per cell
V = 21.78 Å³/atom

a = 5.586 Å, b = 5.586 Å, c = 11.170 Å
α = 90.00°, β = 90.00°, γ = 90.00°
Space group I-42d (No. 122)
Symmetry-distinct sites (fractional):
Ta1 0.000 0.000 0.000 (multiplicity 4)
Nb1 0.000 0.000 0.500 (multiplicity 4)
P1 0.247 0.250 0.125 (multiplicity 8)


Record 9
A plane-wave DFT calculation with GGA-PBE was carried out for TaNbP3 after structural relaxation.

Total moment = 0.002 μB/f.u.
DFT total energy = -33.21 eV per cell
V = 20.86 Å³/atom

a = 4.708 Å, b = 4.708 Å, c = 4.708 Å
α = 90.00°, β = 90.00°, γ = 90.00°
Space group Pm-3m (No. 221)
Symmetry-distinct sites (fractional):
Ta1 0.000 0.000 0.000 (multiplicity 1)
Nb1 0.500 0.500 0.500 (multiplicity 1)
P1 0.000 0.500 0.500 (multiplicity 3)


Record 10
A plane-wave DFT calculation with GGA-PBE was carried out for TaNbP2 after structural relaxation.

Total moment = 0.000 μB/f.u.
DFT total energy = -106.79 eV per cell
V = 16.20 Å³/atom

a = 3.3882 Å, b = 3.3882 Å, c = 19.5481 Å
α = 90.00°, β = 90.00°, γ = 120.00°
Space group R3m (No. 160, hexagonal axes)
Symmetry-distinct sites (fractional):
Ta1 0.0000 0.0000 0.0000 (multiplicity 3)
Nb1 0.0000 0.0000 0.8339 (multiplicity 3)
P1 0.0000 0.0000 0.4171 (multiplicity 3)
P2 0.0000 0.0000 0.5834 (multiplicity 3)


Record 11
A plane-wave DFT calculation with GGA-PBE was carried out for TaNbP3 after structural relaxation.

Total moment = 0.000 μB/f.u.
DFT total energy = -34.28 eV per cell
V = 21.08 Å³/atom

a = 4.724 Å, b = 4.724 Å, c = 4.724 Å
α = 90.00°, β = 90.00°, γ = 90.00°
Space group Pm-3m (No. 221)
Symmetry-distinct sites (fractional):
Ta1 0.000 0.000 0.000 (multiplicity 1)
Nb1 0.500 0.500 0.500 (multiplicity 1)
P1 0.000 0.000 0.500 (multiplicity 3)


Record 12
A plane-wave DFT calculation with GGA-PBE was carried out for TaNb2P2 after structural relaxation.

Total moment = 0.000 μB/f.u.
DFT total energy = -92.68 eV per cell
V = 15.59 Å³/atom

a = 6.759 Å, b = 6.759 Å, c = 3.412 Å
α = 90.00°, β = 90.00°, γ = 90.00°
Space group P4/mbm (No. 127)
Symmetry-distinct sites (fractional):
Ta1 0.000 0.000 0.000 (multiplicity 2)
Nb1 0.154 0.346 0.500 (multiplicity 4)
P1 0.146 0.646 0.000 (multiplicity 4)


Which formula does entry 8 have?
TaNbP2


What is the formula in the sixth record?
TaNbP2